1.
The following is a PBE calculation of a relaxed PbI2 crystal, from Alexandria via LeMat-Bulk.

Output
Space-group type = P3m1
Energy = -2.919 eV/atom
Mass density = 5.4 g/cm3

a b c (Å): 4.655 4.655 22.483
angles (deg): 90.00 90.00 120.00
Positions (direct):
1 Pb 0.000 0.000 0.000
2 Pb 0.000 0.000 0.333
3 Pb 0.333 0.667 0.667
4 I 0.000 0.000 0.584
5 I 0.333 0.667 0.250
6 I 0.333 0.667 0.917
7 I 0.667 0.333 0.083
8 I 0.667 0.333 0.416
9 I 0.667 0.333 0.750


2.
The following is a PBE calculation of a relaxed CuSi crystal, from Alexandria via LeMat-Bulk.

Output
Space-group type = P4/m
Energy = -4.571 eV/atom
Mass density = 5.1 g/cm3

a b c (Å): 7.972 7.972 3.742
angles (deg): 90.00 90.00 90.00
Positions (direct):
1 Cu 0.076 0.787 0.000
2 Cu 0.144 0.284 0.500
3 Cu 0.213 0.076 0.000
4 Cu 0.284 0.856 0.500
5 Cu 0.716 0.144 0.500
6 Cu 0.787 0.924 0.000
7 Cu 0.856 0.716 0.500
8 Cu 0.924 0.213 0.000
9 Si 0.128 0.590 0.500
10 Si 0.281 0.480 0.000
11 Si 0.410 0.128 0.500
12 Si 0.480 0.719 0.000
13 Si 0.520 0.281 0.000
14 Si 0.590 0.872 0.500
15 Si 0.719 0.520 0.000
16 Si 0.872 0.410 0.500


Uncorrected formation energy (kJ/mol of atoms)
-62.70; 18.19